DFT (PBE-GGA) results for a relaxed Ba2ZrSb crystal.

a = 10.318 Å, b = 10.318 Å, c = 10.318 Å
α = 156.80°, β = 156.75°, γ = 33.08°
Positions (direct):
1 Ba 0.156 0.156 0.000
2 Ba 0.844 0.844 0.000
3 Zr 0.500 0.000 0.500
4 Sb 0.000 0.500 0.500

Computed properties:
* total magnetic moment: 0.000 μB per atom
* energy relative to the elements, uncorrected: -0.194 eV/atom
* crystal system: orthorhombic

DFT (PBE-GGA) results for a relaxed Li2LaPr2Ga2 crystal.

a = 9.393 Å, b = 9.393 Å, c = 9.393 Å
α = 29.45°, β = 29.45°, γ = 29.45°
Positions (direct):
1 Li 0.102 0.102 0.102
2 Li 0.898 0.898 0.898
3 La 0.500 0.500 0.500
4 Pr 0.373 0.373 0.373
5 Pr 0.627 0.627 0.627
6 Ga 0.239 0.239 0.239
7 Ga 0.761 0.761 0.761

Computed properties:
* formation enthalpy at 0 K: -0.2988 eV per atom
* total magnetic moment: 0.000 μB per atom
* crystal system: trigonal

DFT (PBE-GGA) results for a relaxed Dy6Er8Pb crystal.

a = 9.143 Å, b = 9.143 Å, c = 6.683 Å
α = 90.00°, β = 90.00°, γ = 120.00°
Positions (direct):
1 Dy 0.080 0.397 0.399
2 Dy 0.317 0.920 0.399
3 Dy 0.397 0.317 0.601
4 Dy 0.603 0.683 0.399
5 Dy 0.683 0.080 0.601
6 Dy 0.920 0.603 0.601
7 Er 0.020 0.685 0.106
8 Er 0.315 0.335 0.106
9 Er 0.333 0.667 0.808
10 Er 0.335 0.020 0.894
11 Er 0.665 0.980 0.106
12 Er 0.667 0.333 0.192
13 Er 0.685 0.665 0.894
14 Er 0.980 0.315 0.894
15 Pb 0.000 0.000 0.500

Computed properties:
* formation enthalpy at 0 K: 0.1872 eV per atom
* total magnetic moment: 0.000 μB per atom
* crystal system: trigonal

Summary of calculated volume in Å³ per atom
42.66, 25.33, 32.25
(order as listed above)